{"formula": "NiWSe2", "functional": "PBE", "state": "relaxed", "lattice": [[3.103, 0.000, 0.000], [-1.552, 2.687, 0.000], [0.000, 0.000, 28.394]], "species": ["Ni", "Ni", "Ni", "W", "W", "W", "Se", "Se", "Se", "Se", "Se", "Se"], "frac_coords": [[0.000, 0.000, 0.000], [0.333, 0.667, 0.667], [0.667, 0.333, 0.333], [0.000, 0.000, 0.260], [0.333, 0.667, 0.927], [0.667, 0.333, 0.593], [0.000, 0.000, 0.531], [0.000, 0.000, 0.720], [0.333, 0.667, 0.197], [0.333, 0.667, 0.387], [0.667, 0.333, 0.053], [0.667, 0.333, 0.864]], "volume_a3_per_atom": 19.731, "rho_kg_m3": 8426, "e_above_lowest_polymorph_mev_per_atom": 186, "n_ef_per_ev_cell": 9.6, "formation_energy_uncorrected_ev_per_atom": 0.03, "dft_energy_ev_per_atom": -6.39}